Material: PrHoTh4
Method: DFT, PBE-GGA
State: relaxed Values from VASP.

The structure in Quantum ESPRESSO input format:
```
&SYSTEM
  ibrav = 0, nat = 6, ntyp = 3
/
ATOMIC_SPECIES
Pr 140.91 Pr.upf
Ho 164.93 Ho.upf
Th 232.04 Th.upf
CELL_PARAMETERS angstrom
0.000 4.704 4.704
4.704 0.000 4.704
4.704 4.704 0.000
ATOMIC_POSITIONS crystal
Pr 0.000 0.000 0.000
Ho 0.250 0.250 0.250
Th 0.126 0.625 0.625
Th 0.625 0.126 0.625
Th 0.625 0.625 0.126
Th 0.625 0.625 0.625
```

Calculated values
Energy relative to the lowest polymorph listed for this composition (meV per atom): 224
Magnetization (μB/atom): 0.00
Symmetry: F-43m
Calculated formation energy (eV per atom): 0.27


Material: Pr8Ho4Th
Method: DFT, PBE-GGA
State: relaxed Values from VASP.

The structure in Quantum ESPRESSO input format:
```
&SYSTEM
  ibrav = 0, nat = 13, ntyp = 3
/
ATOMIC_SPECIES
Pr 140.91 Pr.upf
Ho 164.93 Ho.upf
Th 232.04 Th.upf
CELL_PARAMETERS angstrom
3.694 2.133 9.685
-3.694 2.133 9.685
0.000 -4.266 9.685
ATOMIC_POSITIONS crystal
Pr 0.204 0.753 0.753
Pr 0.213 0.213 0.213
Pr 0.247 0.247 0.796
Pr 0.247 0.796 0.247
Pr 0.753 0.204 0.753
Pr 0.753 0.753 0.204
Pr 0.787 0.787 0.787
Pr 0.796 0.247 0.247
Ho 0.000 0.000 0.000
Ho 0.000 0.500 0.500
Ho 0.500 0.000 0.500
Ho 0.500 0.500 0.000
Th 0.500 0.500 0.500
```

Calculated values
Magnetization (μB/atom): 0.00
Symmetry: R-3m
Calculated formation energy (eV per atom): 0.22


Calculated volume: 208.2, 457.9 (Å³/cell)
E_tot: -6.24, -4.70 (eV/atom)